Entry from OQMD: a relaxed NaLiHfTe3 crystal (PBE-GGA).

M_tot (Bohr magnetons per cell): 0.0
Final energy (Ha/atom): -0.1712
Crystal system: monoclinic

Cell lengths 8.2581, 4.1400, 10.3769 Å; angles 90.00, 106.53, 90.00 degrees
Sites, in units of the cell vectors:
Na: 0.2385 0.2500 0.1921
Na: 0.7615 0.7500 0.8079
Li: 0.4230 0.2500 0.9059
Li: 0.5770 0.7500 0.0941
Hf: 0.1866 0.7500 0.6671
Hf: 0.8134 0.2500 0.3329
Te: 0.0756 0.7500 0.3671
Te: 0.2325 0.7500 0.9487
Te: 0.4206 0.2500 0.6462
Te: 0.5794 0.7500 0.3538
Te: 0.7675 0.2500 0.0513
Te: 0.9244 0.2500 0.6329